# 1
A plane-wave DFT calculation with PBEsol was carried out for crystalline KCa2Pb at its relaxed geometry.

Geometry as POSCAR:
```
KCa2Pb
1.0
3.888 0.000 0.000
0.000 3.888 0.000
0.000 0.000 10.583
K Ca Pb
1 2 1
Direct
0.000 0.000 0.000
0.500 0.500 0.326
0.500 0.500 0.674
0.000 0.000 0.500
```

## Properties
SG: No. 123
N(E_F) (states/eV per cell): 3.322
DFT formation energy (eV per atom): -0.22
VASP energy (eV/atom): -2.572
V (Å³ per cell): 160
Spin magnetization (μB/atom): 0.000
Mass density (g/cm3): 3.39

=====

# 2
A plane-wave DFT calculation with PBEsol was carried out for crystalline K2CaPb at its relaxed geometry.

Geometry as POSCAR:
```
K2CaPb
1.0
1.927 1.113 13.198
-1.927 1.113 13.198
0.000 -2.226 13.198
K Ca Pb
2 1 1
Direct
0.240 0.240 0.240
0.760 0.760 0.760
0.000 0.000 0.000
0.500 0.500 0.500
```

## Properties
SG: No. 166
N(E_F) (states/eV per cell): 3.786
DFT formation energy (eV per atom): 0.12
VASP energy (eV/atom): -1.978
V (Å³ per cell): 170
Spin magnetization (μB/atom): 0.001
Mass density (g/cm3): 3.18

=====

# 3
A plane-wave DFT calculation with PBEsol was carried out for crystalline K2CaPb at its relaxed geometry.

Geometry as POSCAR:
```
K2CaPb
1.0
-2.503 2.503 5.987
2.503 -2.503 5.987
2.503 2.503 -5.987
K Ca Pb
2 1 1
Direct
0.250 0.750 0.500
0.750 0.250 0.500
0.000 0.000 0.000
0.500 0.500 0.000
```

## Properties
SG: No. 139
N(E_F) (states/eV per cell): 2.533
DFT formation energy (eV per atom): -0.04
VASP energy (eV/atom): -2.143
V (Å³ per cell): 150
Spin magnetization (μB/atom): 0.000
Mass density (g/cm3): 3.60

=====

# 4
A plane-wave DFT calculation with PBEsol was carried out for crystalline KCa2Pb at its relaxed geometry.

Geometry as POSCAR:
```
KCa2Pb
1.0
5.327 0.000 0.000
0.000 5.327 0.000
0.000 0.000 4.734
K Ca Pb
1 2 1
Direct
0.000 0.000 0.000
0.000 0.500 0.500
0.500 0.000 0.500
0.500 0.500 0.000
```

## Properties
SG: No. 123
N(E_F) (states/eV per cell): 1.581
DFT formation energy (eV per atom): -0.14
VASP energy (eV/atom): -2.488
V (Å³ per cell): 134
Spin magnetization (μB/atom): 0.232
Mass density (g/cm3): 4.03